Record 1
Here is crystalline CoTePt at its relaxed geometry from Alexandria via LeMat-Bulk. Energies are from PBE.

Calculated values
Fermi-level density of states ... 5.5 states/eV/f.u.
ΔE_f (raw) ... 0.22 eV per atom
Volume ... 16.9 A^3/atom
Energy relative to the lowest polymorph listed for this composition ... 157 meV per atom

Cell: 3.593 3.593 7.844 Å, 90.00 90.00 90.00°
Space group I4mm (No. 107)
Symmetry-distinct sites (fractional):
Co: 0.000 0.000 0.000 (multiplicity 2)
Te: 0.000 0.000 0.322 (multiplicity 2)
Pt: 0.000 0.000 0.654 (multiplicity 2)


Record 2
Here is crystalline CoTe2Pt at its relaxed geometry from Alexandria via LeMat-Bulk. Energies are from PBE.

Calculated values
Fermi-level density of states ... 2.3 states/eV/f.u.
ΔE_f (raw) ... 0.33 eV per atom
Volume ... 18.9 A^3/atom
Energy relative to the lowest polymorph listed for this composition ... 434 meV per atom

Cell: 6.713 6.713 6.713 Å, 90.00 90.00 90.00°
Space group Fm-3m (No. 225)
Symmetry-distinct sites (fractional):
Co: 0.000 0.000 0.000 (multiplicity 4)
Te: 0.250 0.250 0.250 (multiplicity 8)
Pt: 0.000 0.000 0.500 (multiplicity 4)


Record 3
Here is crystalline CoTePt2 at its relaxed geometry from Alexandria via LeMat-Bulk. Energies are from PBE.

Calculated values
Fermi-level density of states ... 5.8 states/eV/f.u.
ΔE_f (raw) ... 0.14 eV per atom
Volume ... 17.6 A^3/atom

Cell: 4.482 5.371 5.839 Å, 90.00 90.00 90.00°
Space group Amm2 (No. 38)
Symmetry-distinct sites (fractional):
Co: 0.000 0.000 0.000 (multiplicity 2)
Te: 0.500 0.000 0.735 (multiplicity 2)
Pt: 0.000 0.000 0.469 (multiplicity 2)
Pt: 0.500 0.000 0.209 (multiplicity 2)


Record 4
Here is crystalline CoTe2Pt at its relaxed geometry from Alexandria via LeMat-Bulk. Energies are from PBE.

Calculated values
Fermi-level density of states ... 4.0 states/eV/f.u.
ΔE_f (raw) ... 0.16 eV per atom
Volume ... 19.8 A^3/atom
Energy relative to the lowest polymorph listed for this composition ... 267 meV per atom

Cell: 3.225 4.032 12.207 Å, 90.00 90.00 90.00°
Space group Imm2 (No. 44)
Symmetry-distinct sites (fractional):
Co: 0.000 0.000 0.000 (multiplicity 2)
Te: 0.000 0.000 0.549 (multiplicity 2)
Te: 0.000 0.500 0.326 (multiplicity 2)
Pt: 0.000 0.500 0.702 (multiplicity 2)


Record 5
Here is crystalline CoTePt at its relaxed geometry from Alexandria via LeMat-Bulk. Energies are from PBE.

Calculated values
Fermi-level density of states ... 2.9 states/eV/f.u.
ΔE_f (raw) ... 0.07 eV per atom
Volume ... 18.0 A^3/atom
Energy relative to the lowest polymorph listed for this composition ... 0 meV per atom

Cell: 6.003 6.003 6.003 Å, 90.00 90.00 90.00°
Space group F-43m (No. 216)
Symmetry-distinct sites (fractional):
Co: 0.000 0.000 0.000 (multiplicity 4)
Te: 0.250 0.250 0.750 (multiplicity 4)
Pt: 0.250 0.250 0.250 (multiplicity 4)


Record 6
Here is crystalline CoTePt2 at its relaxed geometry from Alexandria via LeMat-Bulk. Energies are from PBE.

Calculated values
Fermi-level density of states ... 4.3 states/eV/f.u.
ΔE_f (raw) ... 0.14 eV per atom
Volume ... 16.8 A^3/atom

Cell: 3.485 3.485 5.527 Å, 90.00 90.00 90.00°
Space group P4/mmm (No. 123)
Symmetry-distinct sites (fractional):
Co: 0.000 0.000 0.000 (multiplicity 1)
Te: 0.000 0.000 0.500 (multiplicity 1)
Pt: 0.500 0.500 0.235 (multiplicity 2)